# 1
Below is an optimized crystal structure of HRu3W, with properties calculated at the PBE level.

DOS(E_F)   0.5605 states/eV/atom
Energy above the most stable polymorph in this dataset   49 meV per atom

Cell: 9.6810 5.5960 4.4383 Å, 90.00 90.01 90.00°
Space group Cm (No. 8)
Asymmetric unit:
H 0.0000 0.0000 0.0000 [2 per cell]
H 0.1626 0.0000 0.6078 [2 per cell]
Ru 0.0830 0.2631 0.7458 [4 per cell]
Ru 0.1727 0.0000 0.2226 [2 per cell]
Ru 0.3329 0.5000 0.7426 [2 per cell]
Ru 0.4185 0.2462 0.2476 [4 per cell]
W 0.1685 0.5000 0.2433 [2 per cell]
W 0.3468 0.0000 0.7498 [2 per cell]

# 2
Below is an optimized crystal structure of HRu3W, with properties calculated at the PBE level.

DOS(E_F)   0.7145 states/eV/atom
Energy above the most stable polymorph in this dataset   27 meV per atom

Cell: 7.3824 4.4144 9.6900 Å, 90.00 131.00 90.00°
Space group P2_1/c (No. 14)
Asymmetric unit:
H 0.2488 0.0054 0.3742 [4 per cell]
Ru 0.0001 0.2470 0.6632 [4 per cell]
Ru 0.2500 0.2463 0.0436 [4 per cell]
Ru 0.4995 0.2450 0.9131 [4 per cell]
W 0.2498 0.7413 0.2032 [4 per cell]